TePbBr2 after structural relaxation, computed with PBE.

```
4
Lattice="3.863 0.000 0.000 0.000 3.863 0.000 0.000 0.000 8.693" Properties=species:S:1:pos:R:3 pbc="T T T"
Te 0.000 0.000 0.000
Pb 1.932 1.932 6.538
Br 0.000 0.000 4.890
Br 1.932 1.932 1.692
```

Computed properties:
**Total moment**: 0.0 μB per cell
**Raw formation energy**: -0.17 eV per atom
**DOS at the Fermi energy**: 2.3 states/eV/cell
**Total energy**: -2.717 eV per atom

=====

Te2Pb2Br after structural relaxation, computed with PBE.

```
10
Lattice="8.773 0.000 0.000 0.000 8.773 0.000 0.000 0.000 4.246" Properties=species:S:1:pos:R:3 pbc="T T T"
Te 1.131 3.256 0.000
Te 3.256 7.642 0.000
Te 5.517 1.131 0.000
Te 7.642 5.517 0.000
Pb 1.614 6.001 2.123
Pb 2.772 1.614 2.123
Pb 6.001 7.159 2.123
Pb 7.159 2.772 2.123
Br 0.000 0.000 2.123
Br 4.387 4.387 2.123
```

Computed properties:
**Total moment**: 0.0 μB per cell
**Raw formation energy**: -0.35 eV per atom
**DOS at the Fermi energy**: 3.3 states/eV/cell
**Total energy**: -3.425 eV per atom

=====

TePb2Br after structural relaxation, computed with PBE.

```
4
Lattice="2.055 1.186 10.049 -2.055 1.186 10.049 0.000 -2.372 10.049" Properties=species:S:1:pos:R:3 pbc="T T T"
Te 0.000 0.000 0.000
Pb 0.000 0.000 14.860
Pb 0.000 0.000 21.914
Br 0.000 0.000 6.794
```

Computed properties:
**Total moment**: 0.0 μB per cell
**Raw formation energy**: -0.22 eV per atom
**DOS at the Fermi energy**: 2.4 states/eV/cell
**Total energy**: -3.277 eV per atom

=====

TePb3Br after structural relaxation, computed with PBE.

```
5
Lattice="5.801 0.000 0.000 0.000 5.801 0.000 0.000 0.000 5.801" Properties=species:S:1:pos:R:3 pbc="T T T"
Te 0.000 0.000 0.000
Pb 0.000 2.900 2.900
Pb 2.900 0.000 2.900
Pb 2.900 2.900 0.000
Br 2.900 2.900 2.900
```

Computed properties:
**Total moment**: 0.0 μB per cell
**Raw formation energy**: 0.40 eV per atom
**DOS at the Fermi energy**: 10.3 states/eV/cell
**Total energy**: -2.784 eV per atom

=====

TePb4Br after structural relaxation, computed with PBE.

```
6
Lattice="0.000 4.622 4.622 4.622 0.000 4.622 4.622 4.622 0.000" Properties=species:S:1:pos:R:3 pbc="T T T"
Te 0.000 0.000 0.000
Pb 3.466 3.466 3.466
Pb 5.778 5.778 3.466
Pb 5.778 3.466 5.778
Pb 3.466 5.778 5.778
Br 6.933 6.933 6.933
```

Computed properties:
**Total moment**: 0.0 μB per cell
**Raw formation energy**: 0.08 eV per atom
**DOS at the Fermi energy**: 5.4 states/eV/cell
**Total energy**: -3.192 eV per atom

=====

TePbBr2 after structural relaxation, computed with PBE.

```
4
Lattice="4.681 0.000 0.000 0.000 4.681 0.000 0.000 0.000 7.839" Properties=species:S:1:pos:R:3 pbc="T T T"
Te 0.000 0.000 0.000
Pb 2.341 2.341 7.766
Br 0.000 0.000 5.296
Br 2.341 2.341 2.601
```

Computed properties:
**Total moment**: 0.0 μB per cell
**Raw formation energy**: -0.39 eV per atom
**Total energy**: -2.943 eV per atom

=====

Te2PbBr8 after structural relaxation, computed with PBE.

```
11
Lattice="9.153 0.000 0.000 -4.576 7.927 0.000 0.000 0.000 5.940" Properties=species:S:1:pos:R:3 pbc="T T T"
Te 0.000 5.284 1.392
Te 4.576 2.642 4.548
Pb 0.000 0.000 0.000
Br -2.332 6.622 1.600
Br 0.008 2.596 1.600
Br 2.252 1.292 4.339
Br 0.000 5.284 4.392
Br 4.576 2.642 1.548
Br 2.324 6.635 1.600
Br 4.569 5.330 4.339
Br 6.908 1.305 4.339
```

Computed properties:
**Total moment**: 0.0 μB per cell
**Raw formation energy**: -0.31 eV per atom
**DOS at the Fermi energy**: 1.7 states/eV/cell
**Total energy**: -2.435 eV per atom

=====

TePbBr after structural relaxation, computed with PBE.

```
6
Lattice="8.091 -2.314 0.000 8.091 2.314 0.000 -1.488 0.000 5.709" Properties=species:S:1:pos:R:3 pbc="T T T"
Te 0.000 0.000 0.000
Te 10.546 0.000 3.058
Pb 0.299 0.000 3.012
Pb 4.542 0.000 5.270
Br 6.060 0.000 2.587
Br 11.610 0.000 0.364
```

Computed properties:
**Total moment**: 0.0 μB per cell
**Raw formation energy**: -0.42 eV per atom
**DOS at the Fermi energy**: 1.6 states/eV/cell
**Total energy**: -3.265 eV per atom

=====

TePbBr2 after structural relaxation, computed with PBE.

```
8
Lattice="-4.556 4.556 3.501 4.556 -4.556 3.501 4.556 4.556 -3.501" Properties=species:S:1:pos:R:3 pbc="T T T"
Te 0.000 0.000 0.000
Te 0.000 4.556 1.751
Pb 4.556 0.000 1.751
Pb 0.000 0.000 3.501
Br 2.278 -1.780 2.626
Br 2.777 2.278 0.875
Br 2.278 6.336 -0.875
Br 1.780 2.278 4.377
```

Computed properties:
**Total moment**: 4.0 μB per cell
**Raw formation energy**: -0.16 eV per atom
**DOS at the Fermi energy**: 1.7 states/eV/cell
**Total energy**: -2.709 eV per atom

=====

TePb2Br2 after structural relaxation, computed with PBE.

```
5
Lattice="3.956 -2.282 0.000 3.956 2.282 0.000 -0.062 0.000 10.405" Properties=species:S:1:pos:R:3 pbc="T T T"
Te 0.000 0.000 0.000
Pb 2.574 0.000 8.459
Pb 5.276 0.000 1.946
Br 2.640 0.000 3.549
Br 5.210 0.000 6.856
```

Computed properties:
**Total moment**: 0.0 μB per cell
**Raw formation energy**: -0.70 eV per atom
**DOS at the Fermi energy**: 0.0 states/eV/cell
**Total energy**: -3.479 eV per atom

=====

TePb2Br8 after structural relaxation, computed with PBE.

```
11
Lattice="8.982 0.000 0.000 -4.491 7.779 0.000 0.000 0.000 6.568" Properties=species:S:1:pos:R:3 pbc="T T T"
Te 0.000 0.000 0.000
Pb 0.000 5.186 1.174
Pb 4.491 2.593 5.394
Br 0.000 2.207 1.638
Br -2.580 6.675 1.638
Br 1.911 1.104 4.929
Br 0.000 5.186 3.885
Br 4.491 2.593 2.683
Br 2.580 6.675 1.638
Br 7.071 1.104 4.929
Br 4.491 5.572 4.929
```

Computed properties:
**Total moment**: 0.0 μB per cell
**Raw formation energy**: -0.55 eV per atom
**DOS at the Fermi energy**: 0.0 states/eV/cell
**Total energy**: -2.722 eV per atom

=====

Te2PbBr after structural relaxation, computed with PBE.

```
4
Lattice="5.013 0.000 0.000 0.000 5.966 0.000 -2.083 0.000 5.281" Properties=species:S:1:pos:R:3 pbc="T T T"
Te 0.231 0.000 1.924
Te 2.699 0.000 3.357
Pb -1.041 2.983 2.641
Br 2.506 2.983 0.000
```

Computed properties:
**Total moment**: 0.0 μB per cell
**Raw formation energy**: -0.29 eV per atom
**DOS at the Fermi energy**: 0.8 states/eV/cell
**Total energy**: -3.206 eV per atom

=====

TePb2Br after structural relaxation, computed with PBE.

```
4
Lattice="-2.071 2.246 7.551 2.071 -2.246 7.551 2.071 2.246 -7.551" Properties=species:S:1:pos:R:3 pbc="T T T"
Te 0.000 0.000 0.000
Pb 0.000 0.000 6.538
Pb 0.000 2.246 2.214
Br 2.071 0.000 3.895
```

Computed properties:
**Total moment**: 0.0 μB per cell
**Raw formation energy**: -0.38 eV per atom
**DOS at the Fermi energy**: 1.3 states/eV/cell
**Total energy**: -3.439 eV per atom

=====

TePbBr2 after structural relaxation, computed with PBE.

```
4
Lattice="1.884 1.088 10.364 -1.884 1.088 10.364 0.000 -2.176 10.364" Properties=species:S:1:pos:R:3 pbc="T T T"
Te 0.000 0.000 0.000
Pb 0.000 0.000 15.546
Br 0.000 0.000 2.805
Br 0.000 0.000 28.287
```

Computed properties:
**Total moment**: 0.0 μB per cell
**Raw formation energy**: -0.20 eV per atom
**DOS at the Fermi energy**: 2.8 states/eV/cell
**Total energy**: -2.745 eV per atom

=====

TePb2Br after structural relaxation, computed with PBE.

```
8
Lattice="-4.265 4.265 3.845 4.265 -4.265 3.845 4.265 4.265 -3.845" Properties=species:S:1:pos:R:3 pbc="T T T"
Te 0.000 0.000 0.000
Te 0.000 4.265 1.923
Pb 6.398 2.080 -0.961
Pb 2.080 2.133 0.961
Pb -2.133 2.185 2.884
Pb 2.185 2.133 4.806
Br 4.265 0.000 1.923
Br 0.000 0.000 3.845
```

Computed properties:
**Total moment**: 0.0 μB per cell
**Raw formation energy**: -0.32 eV per atom
**DOS at the Fermi energy**: 5.5 states/eV/cell
**Total energy**: -3.376 eV per atom

=====

Te2Pb3Br2 after structural relaxation, computed with PBE.

```
7
Lattice="7.630 -2.301 0.000 7.630 2.301 0.000 -2.047 0.000 7.807" Properties=species:S:1:pos:R:3 pbc="T T T"
Te 1.059 0.000 2.885
Te 12.153 0.000 4.923
Pb 2.408 0.000 5.700
Pb 6.606 0.000 3.904
Pb 10.805 0.000 2.108
Br 5.187 0.000 1.189
Br 8.026 0.000 6.619
```

Computed properties:
**Total moment**: 0.0 μB per cell
**Raw formation energy**: -0.60 eV per atom
**Total energy**: -3.569 eV per atom

=====

TePbBr2 after structural relaxation, computed with PBE.

```
4
Lattice="2.563 -3.323 0.000 2.563 3.323 0.000 0.000 0.000 8.389" Properties=species:S:1:pos:R:3 pbc="T T T"
Te 0.000 0.000 0.000
Pb 2.563 0.000 2.112
Br 0.000 0.000 3.889
Br 2.563 0.000 7.247
```

Computed properties:
**Total moment**: 0.0 μB per cell
**Raw formation energy**: -0.18 eV per atom
**DOS at the Fermi energy**: 1.5 states/eV/cell
**Total energy**: -2.726 eV per atom

=====

TePbBr2 after structural relaxation, computed with PBE.

```
4
Lattice="-2.229 2.229 6.034 2.229 -2.229 6.034 2.229 2.229 -6.034" Properties=species:S:1:pos:R:3 pbc="T T T"
Te 0.000 0.000 0.000
Pb 0.000 2.229 3.017
Br 2.229 0.000 3.017
Br 0.000 0.000 6.034
```

Computed properties:
**Total moment**: 0.0 μB per cell
**Raw formation energy**: -0.21 eV per atom
**DOS at the Fermi energy**: 0.8 states/eV/cell
**Total energy**: -2.759 eV per atom

=====

TePb2Br after structural relaxation, computed with PBE.

```
4
Lattice="2.119 1.223 8.773 -2.119 1.223 8.773 0.000 -2.447 8.773" Properties=species:S:1:pos:R:3 pbc="T T T"
Te 0.000 0.000 0.000
Pb 0.000 0.000 6.664
Pb 0.000 0.000 19.656
Br 0.000 0.000 13.160
```

Computed properties:
**Total moment**: 0.0 μB per cell
**Raw formation energy**: -0.40 eV per atom
**DOS at the Fermi energy**: 1.5 states/eV/cell
**Total energy**: -3.455 eV per atom

=====

Te2PbBr after structural relaxation, computed with PBE.

```
4
Lattice="1.721 0.994 11.470 -1.721 0.994 11.470 0.000 -1.987 11.470" Properties=species:S:1:pos:R:3 pbc="T T T"
Te 0.000 0.000 3.150
Te 0.000 0.000 31.260
Pb 0.000 0.000 0.000
Br 0.000 0.000 17.205
```

Computed properties:
**Total moment**: 0.0 μB per cell
**Raw formation energy**: 0.20 eV per atom
**DOS at the Fermi energy**: 3.0 states/eV/cell
**Total energy**: -2.717 eV per atom

=====

TePb3Br after structural relaxation, computed with PBE.

```
5
Lattice="6.086 0.000 0.000 0.000 6.086 0.000 0.000 0.000 6.086" Properties=species:S:1:pos:R:3 pbc="T T T"
Te 0.000 0.000 0.000
Pb 0.000 0.000 3.043
Pb 0.000 3.043 0.000
Pb 3.043 0.000 0.000
Br 3.043 3.043 3.043
```

Computed properties:
**Total moment**: 0.0 μB per cell
**Raw formation energy**: 0.27 eV per atom
**DOS at the Fermi energy**: 5.8 states/eV/cell
**Total energy**: -2.913 eV per atom

=====

TePbBr2 after structural relaxation, computed with PBE.

```
4
Lattice="4.981 0.000 0.000 0.000 4.981 0.000 0.000 0.000 4.693" Properties=species:S:1:pos:R:3 pbc="T T T"
Te 0.000 0.000 0.000
Pb 2.491 2.491 0.000
Br 0.000 2.491 2.347
Br 2.491 0.000 2.347
```

Computed properties:
**Total moment**: 0.0 μB per cell
**Raw formation energy**: -0.12 eV per atom
**DOS at the Fermi energy**: 2.9 states/eV/cell
**Total energy**: -2.664 eV per atom

=====

Te2PbBr after structural relaxation, computed with PBE.

```
8
Lattice="-5.077 5.077 2.849 5.077 -5.077 2.849 5.077 5.077 -2.849" Properties=species:S:1:pos:R:3 pbc="T T T"
Te 7.615 2.030 -0.712
Te 2.030 2.538 0.712
Te -2.538 3.047 2.136
Te 3.047 2.538 3.561
Pb 0.000 0.000 0.000
Pb 0.000 5.077 1.424
Br 5.077 0.000 1.424
Br 0.000 0.000 2.849
```

Computed properties:
**Total moment**: 0.0 μB per cell
**Raw formation energy**: -0.23 eV per atom
**DOS at the Fermi energy**: 6.1 states/eV/cell
**Total energy**: -3.148 eV per atom

=====

TePbBr2 after structural relaxation, computed with PBE.

```
4
Lattice="1.967 1.136 12.019 -1.967 1.136 12.019 0.000 -2.271 12.019" Properties=species:S:1:pos:R:3 pbc="T T T"
Te 0.000 0.000 0.000
Pb 0.000 0.000 18.028
Br 0.000 0.000 7.989
Br 0.000 0.000 28.066
```

Computed properties:
**Total moment**: 0.5 μB per cell
**Raw formation energy**: -0.23 eV per atom
**DOS at the Fermi energy**: 1.3 states/eV/cell
**Total energy**: -2.783 eV per atom

=====

Te2PbBr after structural relaxation, computed with PBE.

```
4
Lattice="4.338 0.000 0.000 0.000 4.338 0.000 0.000 0.000 7.166" Properties=species:S:1:pos:R:3 pbc="T T T"
Te 0.000 0.000 1.400
Te 0.000 0.000 5.766
Pb 2.169 2.169 0.000
Br 2.169 2.169 3.583
```

Computed properties:
**Total moment**: 0.0 μB per cell
**Raw formation energy**: -0.11 eV per atom
**DOS at the Fermi energy**: 3.9 states/eV/cell
**Total energy**: -3.023 eV per atom

=====

TePbBr after structural relaxation, computed with PBE.

```
3
Lattice="0.000 3.775 3.775 3.775 0.000 3.775 3.775 3.775 0.000" Properties=species:S:1:pos:R:3 pbc="T T T"
Te 0.000 0.000 0.000
Pb 1.887 1.887 1.887
Br 3.775 3.775 3.775
```

Computed properties:
**Total moment**: 0.0 μB per cell
**Raw formation energy**: -0.28 eV per atom
**DOS at the Fermi energy**: 3.5 states/eV/cell
**Total energy**: -3.119 eV per atom

=====

TePb2Br after structural relaxation, computed with PBE.

```
4
Lattice="4.632 0.000 0.000 0.000 4.632 0.000 0.000 0.000 6.524" Properties=species:S:1:pos:R:3 pbc="T T T"
Te 0.000 0.000 0.000
Pb 0.000 0.000 3.256
Pb 2.316 2.316 6.522
Br 2.316 2.316 3.258
```

Computed properties:
**Total moment**: 0.0 μB per cell
**Raw formation energy**: -0.36 eV per atom
**DOS at the Fermi energy**: 1.8 states/eV/cell
**Total energy**: -3.416 eV per atom

=====

Te2PbBr after structural relaxation, computed with PBE.

```
4
Lattice="2.314 1.336 8.969 -2.314 1.336 8.969 0.000 -2.672 8.969" Properties=species:S:1:pos:R:3 pbc="T T T"
Te 0.000 0.000 2.765
Te 0.000 0.000 24.141
Pb 0.000 0.000 13.453
Br 0.000 0.000 0.000
```

Computed properties:
**Total moment**: 0.0 μB per cell
**Raw formation energy**: -0.06 eV per atom
**DOS at the Fermi energy**: 3.0 states/eV/cell
**Total energy**: -2.981 eV per atom